(1)
Crystalline Li3Tm2HfS6 at its relaxed geometry, computed with GGA-PBE.

Cell lengths 6.515, 6.515, 6.542 Å; angles 99.57, 99.57, 119.99 degrees
Fractional coordinates of all 12 atoms:
1 S 0.404 0.083 0.249
2 S 0.762 0.762 0.247
3 S 0.083 0.404 0.249
4 S 0.917 0.596 0.751
5 S 0.238 0.238 0.753
6 S 0.596 0.917 0.751
7 Li 0.164 0.836 0.500
8 Li 0.500 0.500 0.500
9 Li 0.836 0.164 0.500
10 Tm 0.667 0.333 0.000
11 Tm 0.333 0.667 0.000
12 Hf 0.000 0.000 0.000

Output
The formation energy from raw total energies comes out at -1.72 eV/atom. Its magnetization is 0.00 Bohr magnetons per cell.

=====

(2)
Crystalline LiHfUS4 at its relaxed geometry, computed with GGA-PBE.

Cell lengths 7.441, 7.692, 7.692 Å; angles 62.43, 61.07, 61.07 degrees
Each line ends with the local moment (μB).
Fractional coordinates of all 14 atoms:
1 U 0.000 0.000 0.000  2.36
2 U 0.000 0.500 0.500  2.36
3 S 0.251 0.774 0.724  -0.02
4 S 0.749 0.226 0.276  -0.02
5 S 0.766 0.236 0.736  -0.04
6 S 0.251 0.224 0.274  -0.02
7 S 0.738 0.764 0.264  -0.04
8 S 0.749 0.776 0.726  -0.02
9 S 0.262 0.236 0.736  -0.04
10 S 0.234 0.764 0.264  -0.04
11 Li 0.633 0.617 0.117  0.01
12 Li 0.367 0.383 0.883  0.01
13 Hf 0.000 0.000 0.500  0.23
14 Hf 0.500 0.000 0.500  0.23

Output
The formation energy from raw total energies comes out at -1.47 eV/atom. Its magnetization is 5.70 Bohr magnetons per cell.

=====

(3)
Crystalline Li4Hf3US8 at its relaxed geometry, computed with GGA-PBE.

Cell lengths 7.254, 7.564, 7.254 Å; angles 118.65, 120.00, 90.00 degrees
Each line ends with the local moment (μB).
Fractional coordinates of all 16 atoms:
1 S 0.748 0.744 0.496  0.00
2 S 0.743 0.248 0.486  0.02
3 S 0.257 0.752 0.514  0.02
4 S 0.257 0.752 0.995  0.02
5 S 0.743 0.248 0.005  0.02
6 S 0.262 0.248 0.005  0.02
7 S 0.738 0.752 0.995  0.02
8 S 0.252 0.256 0.504  0.00
9 Li 0.500 0.000 0.500  0.00
10 Li 0.000 0.000 0.000  0.00
11 Li 0.000 0.000 0.500  0.00
12 Li 0.500 0.000 0.000  0.01
13 Hf 0.000 0.500 0.500  -0.01
14 Hf 0.500 0.500 0.500  -0.01
15 Hf 0.500 0.500 0.000  -0.01
16 U 0.000 0.500 0.000  -1.97

Output
The formation energy from raw total energies comes out at -1.46 eV/atom. Its magnetization is 2.10 Bohr magnetons per cell.

=====

(4)
Crystalline Li2HfUS4 at its relaxed geometry, computed with GGA-PBE.

Cell lengths 3.681, 6.419, 6.647 Å; angles 108.50, 90.00, 90.00 degrees
Each line ends with the local moment (μB).
Fractional coordinates of all 8 atoms:
1 U 0.000 0.000 0.000  2.33
2 Li 0.000 0.500 0.500  0.00
3 Li 0.500 0.000 0.500  0.00
4 Hf 0.500 0.500 0.000  0.16
5 S 0.000 0.264 0.752  -0.01
6 S 0.000 0.736 0.248  -0.01
7 S 0.500 0.733 0.742  -0.04
8 S 0.500 0.267 0.258  -0.04

Output
The formation energy from raw total energies comes out at -1.42 eV/atom. Its magnetization is 2.81 Bohr magnetons per cell.